Record 1
La2YO | GGA-PBE | optimized geometry

a = 3.6710 Å, b = 3.6710 Å, c = 28.5824 Å
α = 90.00°, β = 90.00°, γ = 120.00°
Space group R-3m (No. 166, hexagonal axes)
Asymmetric unit:
La 0.0000 0.0000 0.1175 (multiplicity 6)
Y 0.0000 0.0000 0.0000 (multiplicity 3)
O 0.0000 0.0000 0.5000 (multiplicity 3)

Final energy, eV per atom: -6.4914
Density, Mg/m³: 5.72
Magnetization, Bohr magnetons per cell: 0.016
Calculated volume, Å³/f.u.: 111.2
Formation energy (no corrections), eV/f.u.: -4.69

=====

Record 2
RbGa2FeCl8 | GGA-PBE | optimized geometry

a = 6.3900 Å, b = 6.3900 Å, c = 28.3034 Å
α = 90.00°, β = 90.00°, γ = 120.00°
Space group R-3 (No. 148, hexagonal axes)
Asymmetric unit:
Rb 0.0000 0.0000 0.0000 (multiplicity 3)
Ga 0.0000 0.0000 0.2411 (multiplicity 6)
Fe 0.0000 0.0000 0.5000 (multiplicity 3)
Cl 0.0000 0.0000 0.3200 (multiplicity 6)
Cl 0.0038 0.6824 0.4482 (multiplicity 18)

Final energy, eV per atom: -3.6078
Density, Mg/m³: 2.81
Magnetization, Bohr magnetons per cell: 9.042
Calculated volume, Å³/f.u.: 333.6
Formation energy (no corrections), eV/f.u.: -13.04

=====

Record 3
Pm3Tl4Ag4 | GGA-PBE | optimized geometry

a = 3.530 Å, b = 5.031 Å, c = 15.849 Å
α = 99.13°, β = 96.36°, γ = 90.01°
Space group P-1 (No. 2)
Asymmetric unit:
Pm 0.000 0.000 0.000 (multiplicity 1)
Pm 0.137 0.636 0.274 (multiplicity 2)
Tl 0.268 0.268 0.537 (multiplicity 2)
Tl 0.408 0.908 0.816 (multiplicity 2)
Ag 0.317 0.817 0.633 (multiplicity 2)
Ag 0.454 0.455 0.910 (multiplicity 2)

Final energy, eV per atom: -3.4045
Density, Mg/m³: 10.13
ΔE_f, eV per atom: -0.21
Magnetization, Bohr magnetons per cell: 0.001
Calculated volume, Å³/f.u.: 276.1